Density functional theory data (PBE-GGA) for an optimized crystal structure of YMgTc2.

a = 7.5549 Å, b = 7.5549 Å, c = 5.9898 Å
α = 50.90°, β = 50.90°, γ = 90.00°
Closest atoms and distances in Å follow each position.
Atoms (fractional coordinates):
Y (0.0000, 0.0000, 0.0000)  2 Mg 2.71, 4 Tc 2.89
Y (0.7500, 0.2500, 0.5000)  2 Mg 2.71, 4 Tc 2.89
Mg (0.5000, 0.5000, 0.0000)  4 Tc 2.62, 2 Y 2.71
Mg (0.2500, 0.7500, 0.5000)  4 Tc 2.62, 2 Y 2.71
Tc (0.5989, 0.1250, 0.2500)  2 Mg 2.62, 2 Tc 2.74, 2 Y 2.89
Tc (0.1511, 0.6250, 0.2500)  2 Mg 2.62, 2 Tc 2.74, 2 Y 2.89
Tc (0.3750, 0.4011, 0.7500)  2 Mg 2.62, 2 Tc 2.74, 2 Y 2.89
Tc (0.8750, 0.8489, 0.7500)  2 Mg 2.62, 2 Tc 2.74, 2 Y 2.89

SG = I-42d, No. 122
crystal system = tetragonal
uncorrected energy = -6.44 eV/atom

---

Density functional theory data (PBE-GGA) for an optimized crystal structure of YMgZrTc.

a = 4.9125 Å, b = 4.9125 Å, c = 4.9125 Å
α = 60.00°, β = 60.00°, γ = 60.00°
Closest atoms and distances in Å follow each position.
Atoms (fractional coordinates):
Y (0.0000, 0.0000, 0.0000)  4 Tc 3.01, 4 Mg 3.01
Mg (0.7500, 0.7500, 0.7500)  4 Zr 3.01, 4 Y 3.01
Tc (0.2500, 0.2500, 0.2500)  4 Zr 3.01, 4 Y 3.01
Zr (0.5000, 0.5000, 0.5000)  4 Mg 3.01, 4 Tc 3.01

SG = F-43m, No. 216
crystal system = cubic
uncorrected energy = -6.78 eV/atom

---

What did the first record say?
Density functional theory data (PBE-GGA) for an optimized crystal structure of YMgTc2.

a = 7.5549 Å, b = 7.5549 Å, c = 5.9898 Å
α = 50.90°, β = 50.90°, γ = 90.00°
Closest atoms and distances in Å follow each position.
Atoms (fractional coordinates):
Y (0.0000, 0.0000, 0.0000)  2 Mg 2.71, 4 Tc 2.89
Y (0.7500, 0.2500, 0.5000)  2 Mg 2.71, 4 Tc 2.89
Mg (0.5000, 0.5000, 0.0000)  4 Tc 2.62, 2 Y 2.71
Mg (0.2500, 0.7500, 0.5000)  4 Tc 2.62, 2 Y 2.71
Tc (0.5989, 0.1250, 0.2500)  2 Mg 2.62, 2 Tc 2.74, 2 Y 2.89
Tc (0.1511, 0.6250, 0.2500)  2 Mg 2.62, 2 Tc 2.74, 2 Y 2.89
Tc (0.3750, 0.4011, 0.7500)  2 Mg 2.62, 2 Tc 2.74, 2 Y 2.89
Tc (0.8750, 0.8489, 0.7500)  2 Mg 2.62, 2 Tc 2.74, 2 Y 2.89

SG = I-42d, No. 122
crystal system = tetragonal
uncorrected energy = -6.44 eV/atom